K3HgAu: relaxed, GGA-PBE.

Summary:
Formation energy = -0.11 eV per atom
E above lowest polymorph = 0.1308 eV per atom
Total magnetic moment = 0.0 μB per formula unit
E_tot = -7.4 eV/cell

Cell and atoms, written as POSCAR:
```
K3HgAu
1.0
6.340 0.000 0.000
0.000 6.340 0.000
0.000 0.000 6.340
K Au Hg
3 1 1
Direct
0.000 0.000 0.500 K
0.000 0.500 0.000 K
0.500 0.000 0.000 K
0.000 0.000 0.000 Au
0.500 0.500 0.500 Hg
```